1.
Compound: Sr2MgSe
Source: Alexandria
Functional: GGA-PBE
Structure: optimized geometry

Unit cell a=7.0748 b=7.0748 c=7.0748 alpha=141.68 beta=141.68 gamma=55.31
Sites, in units of the cell vectors:
Mg1 0.5000 0.5000 0.0000
Sr1 0.2500 0.7500 0.5000
Sr2 0.0000 0.0000 0.0000
Se1 0.7500 0.2500 0.5000

Properties
DOS at the Fermi energy, states/eV/cell: 1.8
Calculated volume, Å³/f.u.: 135.2
Uncorrected formation energy, meV per atom: -642

2.
Compound: Al4TcPd
Source: Alexandria
Functional: GGA-PBE
Structure: optimized geometry

Unit cell a=5.9030 b=5.9032 c=6.0377 alpha=90.00 beta=89.92 gamma=90.00
Sites, in units of the cell vectors:
Al1 0.7500 0.7497 0.2567
Al2 0.2500 0.2503 0.7433
Al3 0.7500 0.7503 0.7433
Al4 0.2500 0.7497 0.7433
Al5 0.7500 0.2497 0.7433
Al6 0.7500 0.2503 0.2567
Al7 0.2500 0.2497 0.2567
Al8 0.2500 0.7503 0.2567
Pd1 0.5000 0.5000 0.0000
Pd2 0.0000 0.0000 0.0000
Tc1 0.0000 0.5000 0.5000
Tc2 0.5000 0.0000 0.5000

Properties
DOS at the Fermi energy, states/eV/cell: 7.6
Calculated volume, Å³/f.u.: 105.2
E_tot, Ha/atom: -0.199